# 1
Computed, not measured: a relaxed La8SnIr2 crystal at the PBE level of DFT.

Computed properties:
The value obtained for the size of the total moment is 0.0 μB per cell.

a b c (Å): 8.9585 14.1905 5.6617
angles (deg): 90.00 103.35 90.00
Space group C2/m (No. 12)
One atom of each set of equivalent atoms:
La  0.0000  0.2494  0.0000 [4 per cell]
La  0.1006  0.0000  0.8000 [4 per cell]
La  0.2021  0.3769  0.5520 [8 per cell]
Sn  0.0000  0.5000  0.0000 [2 per cell]
Ir  0.0000  0.2063  0.5000 [4 per cell]


# 2
Computed, not measured: a relaxed LaSnIr3 crystal at the PBE level of DFT.

Computed properties:
The value obtained for the size of the total moment is 0.0 μB per cell. The excess energy over the best structure of this formula in the dataset comes out at 1036 meV/atom.

a b c (Å): 4.9900 4.9900 4.9900
angles (deg): 90.00 90.00 90.00
Space group Pm-3m (No. 221)
One atom of each set of equivalent atoms:
La  0.0000  0.0000  0.0000 [1 per cell]
Sn  0.5000  0.5000  0.5000 [1 per cell]
Ir  0.0000  0.0000  0.5000 [3 per cell]


# 3
Computed, not measured: a relaxed LaSn3Ir2 crystal at the PBE level of DFT.

Computed properties:
The value obtained for the size of the total moment is 0.0 μB per cell. The excess energy over the best structure of this formula in the dataset comes out at 0 meV/atom.

a b c (Å): 17.6705 4.4431 10.8274
angles (deg): 90.00 106.61 90.00
Space group C2/m (No. 12)
One atom of each set of equivalent atoms:
La  0.0000  0.0000  0.0000 [2 per cell]
La  0.1543  0.0000  0.7000 [4 per cell]
Sn  0.0000  0.5000  0.5000 [2 per cell]
Sn  0.0432  0.0000  0.3477 [4 per cell]
Sn  0.1300  0.5000  0.1857 [4 per cell]
Sn  0.1627  0.5000  0.9385 [4 per cell]
Sn  0.2226  0.0000  0.3832 [4 per cell]
Ir  0.0164  0.5000  0.7758 [4 per cell]
Ir  0.1399  0.5000  0.4397 [4 per cell]
Ir  0.1990  0.0000  0.1187 [4 per cell]


# 4
Computed, not measured: a relaxed La2SnIr2 crystal at the PBE level of DFT.

Computed properties:
The value obtained for the size of the total moment is 0.0 μB per cell. The excess energy over the best structure of this formula in the dataset comes out at 238 meV/atom.

a b c (Å): 5.7444 5.7444 7.9539
angles (deg): 90.00 90.00 90.00
Space group I4/mmm (No. 139)
One atom of each set of equivalent atoms:
La  0.0000  0.5000  0.2500 [4 per cell]
Sn  0.0000  0.0000  0.0000 [2 per cell]
Ir  0.0000  0.0000  0.3340 [4 per cell]


# 5
Computed, not measured: a relaxed La7Sn2Ir2 crystal at the PBE level of DFT.

Computed properties:
The value obtained for the size of the total moment is 0.0 μB per cell. The excess energy over the best structure of this formula in the dataset comes out at 0 meV/atom.

a b c (Å): 4.4661 15.1818 10.0732
angles (deg): 90.00 90.00 90.00
Space group Imm2 (No. 44)
One atom of each set of equivalent atoms:
La  0.0000  0.0000  0.0000 [2 per cell]
La  0.0000  0.1016  0.4037 [4 per cell]
La  0.0000  0.3267  0.6471 [4 per cell]
La  0.0000  0.3776  0.2184 [4 per cell]
Sn  0.0000  0.2282  0.9328 [4 per cell]
Ir  0.0000  0.0000  0.6675 [2 per cell]
Ir  0.0000  0.5000  0.7131 [2 per cell]


# 6
Computed, not measured: a relaxed LaSn3Ir3 crystal at the PBE level of DFT.

Computed properties:
The value obtained for the size of the total moment is 0.0 μB per cell.

a b c (Å): 7.1775 7.1775 20.5421
angles (deg): 90.00 90.00 120.00
Space group R-3 (No. 148, hexagonal axes)
One atom of each set of equivalent atoms:
La  0.0000  0.0000  0.1570 [6 per cell]
Sn  0.0336  0.4261  0.3800 [18 per cell]
Ir  0.0161  0.2375  0.5809 [18 per cell]


# 7
Computed, not measured: a relaxed La4Sn3Ir crystal at the PBE level of DFT.

Computed properties:
The value obtained for the size of the total moment is 0.0 μB per cell.

a b c (Å): 4.5587 4.6303 11.4370
angles (deg): 90.00 90.00 90.00
Space group Pmm2 (No. 25)
One atom of each set of equivalent atoms:
La  0.0000  0.0000  0.0000 [1 per cell]
La  0.0000  0.5000  0.4418 [1 per cell]
La  0.5000  0.0000  0.6850 [1 per cell]
La  0.5000  0.5000  0.1927 [1 per cell]
Sn  0.0000  0.5000  0.7376 [1 per cell]
Sn  0.5000  0.0000  0.3965 [1 per cell]
Sn  0.5000  0.5000  0.9119 [1 per cell]
Ir  0.0000  0.0000  0.2479 [1 per cell]


# 8
Computed, not measured: a relaxed La2Sn4Ir crystal at the PBE level of DFT.

Computed properties:
The value obtained for the size of the total moment is 0.0 μB per cell. The excess energy over the best structure of this formula in the dataset comes out at 0 meV/atom.

a b c (Å): 4.6211 4.6488 17.6905
angles (deg): 90.00 90.00 90.00
Space group Amm2 (No. 38)
One atom of each set of equivalent atoms:
La  0.0000  0.0000  0.0000 [2 per cell]
La  0.5000  0.0000  0.2128 [2 per cell]
Sn  0.0000  0.0000  0.3668 [2 per cell]
Sn  0.0000  0.0000  0.6465 [2 per cell]
Sn  0.5000  0.0000  0.5384 [2 per cell]
Sn  0.5000  0.0000  0.8669 [2 per cell]
Ir  0.0000  0.0000  0.7931 [2 per cell]


# 9
Computed, not measured: a relaxed La4Sn2Ir crystal at the PBE level of DFT.

Computed properties:
The value obtained for the size of the total moment is 0.0 μB per cell.

a b c (Å): 11.9317 4.7545 9.0016
angles (deg): 90.00 121.00 90.00
Space group C2/m (No. 12)
One atom of each set of equivalent atoms:
La  0.0742  0.0000  0.3486 [4 per cell]
La  0.1736  0.5000  0.0603 [4 per cell]
Sn  0.1388  0.5000  0.6531 [4 per cell]
Ir  0.0000  0.0000  0.0000 [2 per cell]


# 10
Computed, not measured: a relaxed La2SnIr2 crystal at the PBE level of DFT.

Computed properties:
The value obtained for the size of the total moment is 0.0 μB per cell. The excess energy over the best structure of this formula in the dataset comes out at 107 meV/atom.

a b c (Å): 7.6468 7.6468 4.0836
angles (deg): 90.00 90.00 90.00
Space group P4/mbm (No. 127)
One atom of each set of equivalent atoms:
La  0.1776  0.3224  0.0000 [4 per cell]
Sn  0.0000  0.0000  0.5000 [2 per cell]
Ir  0.1267  0.6267  0.5000 [4 per cell]


# 11
Computed, not measured: a relaxed La2ThSn3Ir4 crystal at the PBE level of DFT.

Computed properties:
The value obtained for the size of the total moment is 0.0 μB per cell.

a b c (Å): 4.5448 4.5448 11.4189
angles (deg): 90.00 90.00 90.00
Space group P-4m2 (No. 115)
One atom of each set of equivalent atoms:
La  0.0000  0.5000  0.2221 [2 per cell]
Th  0.0000  0.0000  0.5000 [1 per cell]
Sn  0.0000  0.5000  0.8743 [2 per cell]
Sn  0.5000  0.5000  0.5000 [1 per cell]
Ir  0.0000  0.0000  0.0000 [1 per cell]
Ir  0.0000  0.5000  0.6443 [2 per cell]
Ir  0.5000  0.5000  0.0000 [1 per cell]


# 12
Computed, not measured: a relaxed La2TlSnIr crystal at the PBE level of DFT.

Computed properties:
The value obtained for the size of the total moment is 0.0 μB per cell. The excess energy over the best structure of this formula in the dataset comes out at 110 meV/atom.

a b c (Å): 5.5251 5.5251 5.2176
angles (deg): 90.00 90.00 90.00
Space group P4/mmm (No. 123)
One atom of each set of equivalent atoms:
La  0.0000  0.5000  0.0000 [2 per cell]
Tl  0.0000  0.0000  0.5000 [1 per cell]
Sn  0.5000  0.5000  0.5000 [1 per cell]
Ir  0.0000  0.0000  0.0000 [1 per cell]


Number 1: V 700 Å³ per cell, calculated formation energy -0.43 eV per atom, total energy -5.9910 eV/atom. Number 2: V 124 Å³ per cell, calculated formation energy 1.63 eV per atom, total energy -5.4689 eV/atom. Number 3: V 815 Å³ per cell, calculated formation energy -0.48 eV per atom, total energy -6.2531 eV/atom. Number 4: V 262 Å³ per cell, calculated formation energy -0.56 eV per atom, total energy -6.8778 eV/atom. Number 5: V 683 Å³ per cell, calculated formation energy -0.62 eV per atom, total energy -6.0923 eV/atom. Number 6: V 916 Å³ per cell, calculated formation energy -0.29 eV per atom, total energy -6.5083 eV/atom. Number 7: V 241 Å³ per cell, calculated formation energy -0.73 eV per atom, total energy -5.8038 eV/atom. Number 8: V 380 Å³ per cell, calculated formation energy -0.67 eV per atom, total energy -5.6314 eV/atom. Number 9: V 438 Å³ per cell, calculated formation energy -0.75 eV per atom, total energy -5.9713 eV/atom. Number 10: V 239 Å³ per cell, calculated formation energy -0.69 eV per atom, total energy -7.0094 eV/atom. Number 11: V 236 Å³ per cell, calculated formation energy -0.65 eV per atom, total energy -7.1275 eV/atom. Number 12: V 159 Å³ per cell, calculated formation energy -0.49 eV per atom, total energy -5.5082 eV/atom.